Model one:
VASP calculation (PBEsol) on a relaxed Si2AuCl crystal.

Results
N(E_F)	1.8	states/eV per cell
mass density	7010	kg/m3

```
data_Si2AuCl
_symmetry_space_group_name_H-M 'P 4/m m m'
_symmetry_Int_Tables_number 123
_symmetry_space_group_name_Hall '-P 4 2'
_cell_length_a 4.9431
_cell_length_b 4.9431
_cell_length_c 2.7977
_cell_angle_alpha 90.00
_cell_angle_beta 90.00
_cell_angle_gamma 90.00
loop_
_atom_site_label
_atom_site_fract_x
_atom_site_fract_y
_atom_site_fract_z
_atom_site_occupancy
Si1 0.0000 0.5000 0.0000 1
Au1 0.0000 0.0000 0.5000 1
Cl1 0.5000 0.5000 0.5000 1
```

Model two:
VASP calculation (PBEsol) on a relaxed Si2AuCl crystal.

Results
N(E_F)	4.4	states/eV per cell
mass density	6036	kg/m3

```
data_Si2AuCl
_symmetry_space_group_name_H-M 'R -3 m'
_symmetry_Int_Tables_number 166
_symmetry_space_group_name_Hall '-R 3 2"'
_cell_length_a 3.9939
_cell_length_b 3.9939
_cell_length_c 17.2421
_cell_angle_alpha 90.00
_cell_angle_beta 90.00
_cell_angle_gamma 120.00
loop_
_atom_site_label
_atom_site_fract_x
_atom_site_fract_y
_atom_site_fract_z
_atom_site_occupancy
Si1 0.0000 0.0000 0.2202 1
Au1 0.0000 0.0000 0.5000 1
Cl1 0.0000 0.0000 0.0000 1
```

The calculated energies rank the structures as follows, beginning with the most stable: model two, model one.

Model one:
VASP calculation (PBEsol) on a relaxed SrAu2Cl crystal.

Results
N(E_F)	1.9	states/eV per cell
mass density	9393	kg/m3

```
data_SrAu2Cl
_symmetry_space_group_name_H-M 'C m m m'
_symmetry_Int_Tables_number 65
_symmetry_space_group_name_Hall '-C 2 2'
_cell_length_a 5.5677
_cell_length_b 5.6311
_cell_length_c 5.8304
_cell_angle_alpha 90.00
_cell_angle_beta 90.00
_cell_angle_gamma 90.00
loop_
_atom_site_label
_atom_site_fract_x
_atom_site_fract_y
_atom_site_fract_z
_atom_site_occupancy
Sr1 0.0000 0.0000 0.0000 1
Au1 0.0000 0.2498 0.5000 1
Cl1 0.0000 0.5000 0.0000 1
```

Model two:
VASP calculation (PBEsol) on a relaxed SrAu2Cl crystal.

Results
N(E_F)	12.1	states/eV per cell
mass density	9719	kg/m3

```
data_SrAu2Cl
_symmetry_space_group_name_H-M 'F -4 3 m'
_symmetry_Int_Tables_number 216
_symmetry_space_group_name_Hall 'F -4 2 3'
_cell_length_a 7.0697
_cell_length_b 7.0697
_cell_length_c 7.0697
_cell_angle_alpha 90.00
_cell_angle_beta 90.00
_cell_angle_gamma 90.00
loop_
_atom_site_label
_atom_site_fract_x
_atom_site_fract_y
_atom_site_fract_z
_atom_site_occupancy
Sr1 0.0000 0.0000 0.0000 1
Au1 0.0000 0.0000 0.5000 1
Au2 0.2500 0.2500 0.2500 1
Cl1 0.2500 0.2500 0.7500 1
```

The calculated energies rank the structures as follows, beginning with the most stable: model one, model two.

Model one:
VASP calculation (PBEsol) on a relaxed TaAu2Cl crystal.

Results
N(E_F)	1.5	states/eV per cell
mass density	13724	kg/m3

```
data_TaAu2Cl
_symmetry_space_group_name_H-M 'P 4 m m'
_symmetry_Int_Tables_number 99
_symmetry_space_group_name_Hall 'P 4 -2'
_cell_length_a 2.9159
_cell_length_b 2.9159
_cell_length_c 8.6851
_cell_angle_alpha 90.00
_cell_angle_beta 90.00
_cell_angle_gamma 90.00
loop_
_atom_site_label
_atom_site_fract_x
_atom_site_fract_y
_atom_site_fract_z
_atom_site_occupancy
Ta1 0.0000 0.0000 0.0000 1
Au1 0.0000 0.0000 0.4539 1
Au2 0.5000 0.5000 0.2203 1
Cl1 0.5000 0.5000 0.8140 1
```

Model two:
VASP calculation (PBEsol) on a relaxed TaAu2Cl crystal.

Results
N(E_F)	4.6	states/eV per cell
mass density	13988	kg/m3

```
data_TaAu2Cl
_symmetry_space_group_name_H-M 'P 4/m m m'
_symmetry_Int_Tables_number 123
_symmetry_space_group_name_Hall '-P 4 2'
_cell_length_a 5.0616
_cell_length_b 5.0616
_cell_length_c 2.8280
_cell_angle_alpha 90.00
_cell_angle_beta 90.00
_cell_angle_gamma 90.00
loop_
_atom_site_label
_atom_site_fract_x
_atom_site_fract_y
_atom_site_fract_z
_atom_site_occupancy
Ta1 0.0000 0.0000 0.0000 1
Au1 0.0000 0.5000 0.5000 1
Cl1 0.5000 0.5000 0.0000 1
```

Model three:
VASP calculation (PBEsol) on a relaxed TaAu2Cl crystal.

Results
N(E_F)	3.3	states/eV per cell
mass density	14630	kg/m3

```
data_TaAu2Cl
_symmetry_space_group_name_H-M 'P m m m'
_symmetry_Int_Tables_number 47
_symmetry_space_group_name_Hall '-P 2 2'
_cell_length_a 2.8926
_cell_length_b 4.5536
_cell_length_c 5.2592
_cell_angle_alpha 90.00
_cell_angle_beta 90.00
_cell_angle_gamma 90.00
loop_
_atom_site_label
_atom_site_fract_x
_atom_site_fract_y
_atom_site_fract_z
_atom_site_occupancy
Ta1 0.0000 0.0000 0.0000 1
Au1 0.0000 0.5000 0.5000 1
Au2 0.5000 0.0000 0.5000 1
Cl1 0.5000 0.5000 0.0000 1
```

The calculated energies rank the structures as follows, beginning with the most stable: model one, model three, model two.

Model one:
VASP calculation (PBEsol) on a relaxed TaAuCl2 crystal.

Results
N(E_F)	3.3	states/eV per cell
mass density	10704	kg/m3

```
data_TaAuCl2
_symmetry_space_group_name_H-M 'P m m m'
_symmetry_Int_Tables_number 47
_symmetry_space_group_name_Hall '-P 2 2'
_cell_length_a 2.9387
_cell_length_b 4.4166
_cell_length_c 5.3646
_cell_angle_alpha 90.00
_cell_angle_beta 90.00
_cell_angle_gamma 90.00
loop_
_atom_site_label
_atom_site_fract_x
_atom_site_fract_y
_atom_site_fract_z
_atom_site_occupancy
Ta1 0.0000 0.0000 0.0000 1
Au1 0.5000 0.0000 0.5000 1
Cl1 0.0000 0.5000 0.5000 1
Cl2 0.5000 0.5000 0.0000 1
```

Model two:
VASP calculation (PBEsol) on a relaxed TaAuCl2 crystal.

Results
N(E_F)	3.2	states/eV per cell
mass density	9748	kg/m3

```
data_TaAuCl2
_symmetry_space_group_name_H-M 'R 3 m'
_symmetry_Int_Tables_number 160
_symmetry_space_group_name_Hall 'R 3 -2"'
_cell_length_a 3.2416
_cell_length_b 3.2416
_cell_length_c 25.2050
_cell_angle_alpha 90.00
_cell_angle_beta 90.00
_cell_angle_gamma 120.00
loop_
_atom_site_label
_atom_site_fract_x
_atom_site_fract_y
_atom_site_fract_z
_atom_site_occupancy
Ta1 0.0000 0.0000 0.0000 1
Au1 0.0000 0.0000 0.2546 1
Cl1 0.0000 0.0000 0.5153 1
Cl2 0.0000 0.0000 0.7332 1
```

The calculated energies rank the structures as follows, beginning with the most stable: model two, model one.

Model one:
VASP calculation (PBEsol) on a relaxed TcAu2Cl crystal.

Results
N(E_F)	3.8	states/eV per cell
mass density	13115	kg/m3

```
data_TcAu2Cl
_symmetry_space_group_name_H-M 'P 4/m m m'
_symmetry_Int_Tables_number 123
_symmetry_space_group_name_Hall '-P 4 2'
_cell_length_a 2.9042
_cell_length_b 2.9042
_cell_length_c 7.9173
_cell_angle_alpha 90.00
_cell_angle_beta 90.00
_cell_angle_gamma 90.00
loop_
_atom_site_label
_atom_site_fract_x
_atom_site_fract_y
_atom_site_fract_z
_atom_site_occupancy
Tc1 0.0000 0.0000 0.0000 1
Au1 0.5000 0.5000 0.2326 1
Cl1 0.0000 0.0000 0.5000 1
```

Model two:
VASP calculation (PBEsol) on a relaxed TcAu2Cl crystal.

Results
N(E_F)	8.3	states/eV per cell
mass density	12742	kg/m3

```
data_TcAu2Cl
_symmetry_space_group_name_H-M 'F -4 3 m'
_symmetry_Int_Tables_number 216
_symmetry_space_group_name_Hall 'F -4 2 3'
_cell_length_a 6.5023
_cell_length_b 6.5023
_cell_length_c 6.5023
_cell_angle_alpha 90.00
_cell_angle_beta 90.00
_cell_angle_gamma 90.00
loop_
_atom_site_label
_atom_site_fract_x
_atom_site_fract_y
_atom_site_fract_z
_atom_site_occupancy
Tc1 0.0000 0.0000 0.0000 1
Au1 0.0000 0.0000 0.5000 1
Au2 0.2500 0.2500 0.2500 1
Cl1 0.2500 0.2500 0.7500 1
```

The calculated energies rank the structures as follows, beginning with the most stable: model one, model two.

Model one:
VASP calculation (PBEsol) on a relaxed TcAuCl2 crystal.

Results
N(E_F)	3.9	states/eV per cell
mass density	8720	kg/m3

```
data_TcAuCl2
_symmetry_space_group_name_H-M 'C 1 2/m 1'
_symmetry_Int_Tables_number 12
_symmetry_space_group_name_Hall '-C 2y'
_cell_length_a 5.9508
_cell_length_b 8.3669
_cell_length_c 3.0867
_cell_angle_alpha 90.00
_cell_angle_beta 114.95
_cell_angle_gamma 90.00
loop_
_atom_site_label
_atom_site_fract_x
_atom_site_fract_y
_atom_site_fract_z
_atom_site_occupancy
Tc1 0.0000 0.0000 0.0000 1
Au1 0.0000 0.5000 0.0000 1
Cl1 0.2500 0.2500 0.0000 1
```

Model two:
VASP calculation (PBEsol) on a relaxed TcAuCl2 crystal.

Results
N(E_F)	2.6	states/eV per cell
mass density	9032	kg/m3

```
data_TcAuCl2
_symmetry_space_group_name_H-M 'P 1 2/m 1'
_symmetry_Int_Tables_number 10
_symmetry_space_group_name_Hall '-P 2y'
_cell_length_a 2.8385
_cell_length_b 4.0726
_cell_length_c 5.9819
_cell_angle_alpha 90.00
_cell_angle_beta 103.41
_cell_angle_gamma 90.00
loop_
_atom_site_label
_atom_site_fract_x
_atom_site_fract_y
_atom_site_fract_z
_atom_site_occupancy
Tc1 0.0000 0.0000 0.0000 1
Au1 0.0000 0.0000 0.5000 1
Cl1 0.1647 0.5000 0.2301 1
```

The calculated energies rank the structures as follows, beginning with the most stable: model two, model one.